The following is a DFT calculation (GGA-PBE) of Ce2HgGeOs after structural relaxation.

The space group is P2_1/m (No. 11) and the conventional cell measures 7.332, 4.327 and 8.583 Å, with angles of 90.00, 115.27 and 90.00 degrees. The distinct sites, in fractional coordinates, are Ce at (0.189, 0.250, 0.355), Ce at (0.297, 0.250, 0.960), Hg at (0.271, 0.750, 0.667), Ge at (0.453, 0.750, 0.281) and Os at (0.086, 0.750, 0.076).

The value obtained for the formation energy is -0.347 eV per atom. As for the theoretical density: 10.03 g/cm3. As for the density of states at the Fermi level: 9.57 states/eV/f.u.

The following is a DFT calculation (GGA-PBE) of Sm3Mg5Hg2 after structural relaxation.

The space group is Ibam (No. 72) and the conventional cell measures 12.793, 13.156 and 6.377 Å, with angles of 90.00, 90.00 and 90.00 degrees. The distinct sites, in fractional coordinates, are Sm at (0.000, 0.000, 0.250), Sm at (0.133, 0.248, 0.000), Mg at (0.000, 0.500, 0.250), Mg at (0.114, 0.349, 0.500), Mg at (0.243, 0.500, 0.250) and Hg at (0.141, 0.148, 0.500).

The value obtained for the formation energy is -0.119 eV per atom. As for the theoretical density: 6.03 g/cm3. As for the density of states at the Fermi level: 7.44 states/eV/f.u.

The following is a DFT calculation (GGA-PBE) of PaV2Tc after structural relaxation.

The space group is Fm-3m (No. 225) and the conventional cell measures 6.346, 6.346 and 6.346 Å, with angles of 90.00, 90.00 and 90.00 degrees. The distinct sites, in fractional coordinates, are Pa at (0.000, 0.000, 0.000), V at (0.250, 0.250, 0.250) and Tc at (0.000, 0.000, 0.500).

The value obtained for the formation energy is -0.023 eV per atom. As for the theoretical density: 11.20 g/cm3. As for the density of states at the Fermi level: 3.86 states/eV/f.u. Its polymorph energy (0 for the lowest one) is 0 meV/atom.